1.
VASP calculation (PBE-GGA) on an optimized crystal structure of NaHg2Ge2. Values from VASP.

The structure in Quantum ESPRESSO input format:
```
&SYSTEM
  ibrav = 0, nat = 5, ntyp = 3
/
ATOMIC_SPECIES
Na 22.99 Na.upf
Hg 200.59 Hg.upf
Ge 72.64 Ge.upf
CELL_PARAMETERS angstrom
-2.366 2.366 5.559
2.366 -2.366 5.559
2.366 2.366 -5.559
ATOMIC_POSITIONS crystal
Na 0.000 0.000 0.000
Hg 0.250 0.750 0.500
Hg 0.750 0.250 0.500
Ge 0.389 0.389 0.000
Ge 0.611 0.611 0.000
```

## Properties
As for the distance to the lowest polymorph of the same formula: 0.0 meV/atom. The space-group type is I4/mmm (139). The value obtained for the formation energy from the elements is 15 kJ/mol of formula units.

2.
VASP calculation (PBE-GGA) on an optimized crystal structure of GeIrN3. Values from VASP.

The structure in Quantum ESPRESSO input format:
```
&SYSTEM
  ibrav = 0, nat = 5, ntyp = 3
/
ATOMIC_SPECIES
Ge 72.64 Ge.upf
Ir 192.22 Ir.upf
N 14.01 N.upf
CELL_PARAMETERS angstrom
3.885 0.000 0.000
0.000 3.885 0.000
0.000 0.000 3.885
ATOMIC_POSITIONS crystal
Ge 0.000 0.000 0.000
Ir 0.500 0.500 0.500
N 0.000 0.500 0.500
N 0.500 0.000 0.500
N 0.500 0.500 0.000
```

## Properties
The space-group type is Pm-3m (221). Its uncorrected formation energy is 1.377 eV/atom.

3.
VASP calculation (PBE-GGA) on an optimized crystal structure of Ho3Er2UN6. Values from VASP.

The structure in Quantum ESPRESSO input format:
```
&SYSTEM
  ibrav = 0, nat = 12, ntyp = 4
/
ATOMIC_SPECIES
Ho 164.93 Ho.upf
Er 167.26 Er.upf
U 238.03 U.upf
N 14.01 N.upf
CELL_PARAMETERS angstrom
2.972 -5.146 0.000
2.972 5.146 0.000
-1.976 0.000 5.606
ATOMIC_POSITIONS crystal
Ho 0.000 0.000 0.000
Ho 0.332 0.668 0.000
Ho 0.668 0.332 0.000
Er 0.166 0.834 0.500
Er 0.834 0.166 0.500
U 0.500 0.500 0.500
N 0.101 0.420 0.259
N 0.262 0.262 0.738
N 0.420 0.101 0.259
N 0.580 0.899 0.741
N 0.738 0.738 0.262
N 0.899 0.580 0.741
```

## Properties
The space-group type is C2/m (12). Its uncorrected formation energy is -1.716 eV/atom.

4.
VASP calculation (PBE-GGA) on an optimized crystal structure of ThHgSe. Values from VASP.

The structure in Quantum ESPRESSO input format:
```
&SYSTEM
  ibrav = 0, nat = 6, ntyp = 3
/
ATOMIC_SPECIES
Th 232.04 Th.upf
Hg 200.59 Hg.upf
Se 78.96 Se.upf
CELL_PARAMETERS angstrom
4.190 0.000 0.000
0.000 4.190 0.000
0.000 0.000 8.934
ATOMIC_POSITIONS crystal
Th 0.250 0.250 0.197
Th 0.750 0.750 0.803
Hg 0.250 0.750 0.500
Hg 0.750 0.250 0.500
Se 0.250 0.250 0.861
Se 0.750 0.750 0.139
```

## Properties
As for the distance to the lowest polymorph of the same formula: 12.1 meV/atom. The space-group type is P4/nmm (129). Its uncorrected formation energy is -0.985 eV/atom.

5.
VASP calculation (PBE-GGA) on an optimized crystal structure of NaGa3P2H4O12. Values from VASP.

The structure in Quantum ESPRESSO input format:
```
&SYSTEM
  ibrav = 0, nat = 88, ntyp = 5
/
ATOMIC_SPECIES
Na 22.99 Na.upf
Ga 69.72 Ga.upf
P 30.97 P.upf
H 1.01 H.upf
O 16.00 O.upf
CELL_PARAMETERS angstrom
7.379 0.000 0.000
0.000 10.461 0.000
-5.721 0.000 11.510
ATOMIC_POSITIONS crystal
Na 0.245 0.079 0.196
Na 0.245 0.421 0.696
Na 0.755 0.579 0.304
Na 0.755 0.921 0.804
Ga 0.011 0.215 0.460
Ga 0.011 0.285 0.960
Ga 0.253 0.562 0.267
Ga 0.253 0.938 0.767
Ga 0.474 0.238 0.544
Ga 0.474 0.262 0.044
Ga 0.526 0.738 0.956
Ga 0.526 0.762 0.456
Ga 0.747 0.062 0.233
Ga 0.747 0.438 0.733
Ga 0.989 0.715 0.040
Ga 0.989 0.785 0.540
P 0.059 0.670 0.805
P 0.059 0.830 0.305
P 0.448 0.692 0.678
P 0.448 0.808 0.178
P 0.552 0.192 0.822
P 0.552 0.308 0.322
P 0.941 0.170 0.695
P 0.941 0.330 0.195
H 0.185 0.106 0.930
H 0.185 0.394 0.430
H 0.211 0.506 0.069
H 0.211 0.994 0.569
H 0.276 0.610 0.466
H 0.276 0.890 0.966
H 0.278 0.042 0.449
H 0.278 0.458 0.949
H 0.722 0.542 0.051
H 0.722 0.958 0.551
H 0.724 0.110 0.034
H 0.724 0.390 0.534
H 0.789 0.006 0.431
H 0.789 0.494 0.931
H 0.815 0.606 0.570
H 0.815 0.894 0.070
O 0.047 0.215 0.621
O 0.047 0.285 0.121
O 0.048 0.717 0.224
O 0.048 0.783 0.724
O 0.052 0.055 0.776
O 0.052 0.445 0.276
O 0.153 0.570 0.105
O 0.153 0.930 0.605
O 0.216 0.154 0.002
O 0.216 0.346 0.502
O 0.222 0.665 0.591
O 0.222 0.835 0.091
O 0.274 0.103 0.507
O 0.274 0.397 0.007
O 0.280 0.624 0.884
O 0.280 0.876 0.384
O 0.363 0.606 0.426
O 0.363 0.894 0.926
O 0.444 0.232 0.382
O 0.444 0.268 0.882
O 0.463 0.058 0.779
O 0.463 0.442 0.279
O 0.471 0.723 0.284
O 0.471 0.777 0.784
O 0.529 0.223 0.216
O 0.529 0.277 0.716
O 0.537 0.558 0.721
O 0.537 0.942 0.221
O 0.556 0.732 0.118
O 0.556 0.768 0.618
O 0.637 0.106 0.074
O 0.637 0.394 0.574
O 0.720 0.124 0.616
O 0.720 0.376 0.116
O 0.726 0.603 0.993
O 0.726 0.897 0.493
O 0.778 0.165 0.909
O 0.778 0.335 0.409
O 0.784 0.654 0.498
O 0.784 0.846 0.998
O 0.847 0.070 0.395
O 0.847 0.430 0.895
O 0.948 0.555 0.724
O 0.948 0.945 0.224
O 0.952 0.217 0.276
O 0.952 0.283 0.776
O 0.953 0.715 0.879
O 0.953 0.785 0.379
```

## Properties
The space-group type is P2_1/c (14). For the total DFT energy (no corrections), the calculation gives -6.085 eV per atom.

6.
VASP calculation (PBE-GGA) on an optimized crystal structure of MnBe8Co3. Values from VASP.

The structure in Quantum ESPRESSO input format:
```
&SYSTEM
  ibrav = 0, nat = 12, ntyp = 3
/
ATOMIC_SPECIES
Mn 54.94 Mn.upf
Be 9.01 Be.upf
Co 58.93 Co.upf
CELL_PARAMETERS angstrom
4.165 0.000 0.000
-2.083 3.607 0.000
0.000 0.000 6.768
ATOMIC_POSITIONS crystal
Mn 0.000 0.000 0.000
Be 0.163 0.326 0.684
Be 0.163 0.837 0.684
Be 0.333 0.667 0.439
Be 0.333 0.667 0.938
Be 0.504 0.008 0.193
Be 0.504 0.496 0.193
Be 0.674 0.837 0.684
Be 0.992 0.496 0.193
Co 0.000 0.000 0.371
Co 0.667 0.333 0.499
Co 0.667 0.333 0.880
```

## Properties
The space-group type is P3m1 (156). The value obtained for the formation energy from the elements is -320 kJ/mol of formula units.

It is found that the total moment values, taken in the order of the records, are 0.00, 0.00, 0.83, 0.00, 0.00, 4.72 Bohr magnetons per cell.
It is found that the mass density values, taken in the order of the records, are 7.60, 8.69, 11.15, 10.83, 3.66, 4.96 g/cm3.